# 1
# YSc2In | the Alexandria database | GGA-PBE | relaxed
# **Formation enthalpy at 0 K**: -0.17 eV per atom
# **N(E_F)**: 1.212 states/eV per atom
data_YSc2In
_chemical_formula_sum 'Y1 Sc2 In1'
_symmetry_space_group_name_H-M 'P m m m'
_symmetry_Int_Tables_number 47
_symmetry_space_group_name_Hall '-P 2 2'
_cell_length_a 3.372
_cell_length_b 4.609
_cell_length_c 6.547
_cell_angle_alpha 90.00
_cell_angle_beta 90.00
_cell_angle_gamma 90.00
loop_
_atom_site_label
_atom_site_fract_x
_atom_site_fract_y
_atom_site_fract_z
Y1 0.000 0.000 0.000
Sc1 0.500 0.500 0.256
In1 0.000 0.000 0.500

# 2
# LaTb4Pr2 | the Alexandria database | GGA-PBE | relaxed
# **Formation enthalpy at 0 K**: 0.21 eV per atom
# **N(E_F)**: 1.458 states/eV per atom
data_LaTb4Pr2
_chemical_formula_sum 'La2 Tb8 Pr4'
_symmetry_space_group_name_H-M 'P -1'
_symmetry_Int_Tables_number 2
_symmetry_space_group_name_Hall '-P 1'
_cell_length_a 6.979
_cell_length_b 7.071
_cell_length_c 10.525
_cell_angle_alpha 90.00
_cell_angle_beta 90.02
_cell_angle_gamma 106.49
loop_
_atom_site_label
_atom_site_fract_x
_atom_site_fract_y
_atom_site_fract_z
La1 0.000 0.000 0.000
La2 0.500 0.000 0.000
Tb1 0.229 0.189 0.284
Tb2 0.230 0.189 0.717
Tb3 0.230 0.688 0.220
Tb4 0.231 0.689 0.780
Pr1 0.000 0.500 0.500
Pr2 0.500 0.000 0.500
Pr3 0.500 0.500 0.000
Pr4 0.500 0.500 0.500

# 3
# NaNdZnCl6 | the Alexandria database | GGA-PBE | relaxed
# **Raw formation energy**: -1.75 eV/atom
# **N(E_F)**: 0.000 states/eV per atom
data_NaNdZnCl6
_chemical_formula_sum 'Na2 Nd2 Zn2 Cl12'
_symmetry_space_group_name_H-M 'P -3 1 c'
_symmetry_Int_Tables_number 163
_symmetry_space_group_name_Hall '-P 3 2c'
_cell_length_a 6.7686
_cell_length_b 6.7686
_cell_length_c 12.4491
_cell_angle_alpha 90.00
_cell_angle_beta 90.00
_cell_angle_gamma 120.00
loop_
_atom_site_label
_atom_site_fract_x
_atom_site_fract_y
_atom_site_fract_z
Na1 0.0000 0.0000 0.0000
Nd1 0.3333 0.6667 0.2500
Zn1 0.3333 0.6667 0.7500
Cl1 0.0282 0.3689 0.6327